(1)
The following is a DFT calculation (PBE) of LiSc2Mn after structural relaxation.

Values from the calculation:
E_tot, eV per atom: -5.69
Space-group type: R-3m
Theoretical density, g/cm³: 3.18

a = 9.3952 Å, b = 9.3952 Å, c = 9.3952 Å
α = 19.32°, β = 19.32°, γ = 19.32°
Last column: nearest neighbours and their distance in Å.
Fractional coordinates of all 4 atoms:
Sc  0.9832  0.9832  0.9832  3 Mn 2.59
Sc  0.5168  0.5168  0.5168  3 Mn 2.59
Li  0.7500  0.7500  0.7500  6 Li 3.15, 6 Sc 3.31
Mn  0.2500  0.2500  0.2500  6 Sc 2.59

=====

(2)
The following is a DFT calculation (PBE) of Sc4ZnCuRu2 after structural relaxation.

Values from the calculation:
E_tot, eV per atom: -6.63
Space-group type: R-3m
Theoretical density, g/cm³: 6.16

a = 4.6123 Å, b = 4.6123 Å, c = 7.9414 Å
α = 73.12°, β = 73.12°, γ = 60.00°
Last column: nearest neighbours and their distance in Å.
Fractional coordinates of all 8 atoms:
Ru  0.7494  0.7494  0.7519  8 Sc 2.78-2.84
Ru  0.2506  0.2506  0.2481  8 Sc 2.78-2.84
Sc  0.8732  0.8732  0.3802  4 Ru 2.78-2.84, 3 Cu 2.81, 1 Zn 2.84
Sc  0.1268  0.1268  0.6198  4 Ru 2.78-2.84, 3 Cu 2.81, 1 Zn 2.84
Sc  0.3764  0.3764  0.8707  1 Cu 2.77, 4 Ru 2.81-2.82, 3 Zn 2.83
Sc  0.6236  0.6236  0.1293  1 Cu 2.77, 4 Ru 2.81-2.82, 3 Zn 2.83
Cu  0.5000  0.5000  0.5000  8 Sc 2.77-2.81
Zn  0.0000  0.0000  0.0000  8 Sc 2.83-2.84

=====

(3)
The following is a DFT calculation (PBE) of B2C after structural relaxation.

Values from the calculation:
E_tot, eV per atom: -7.07
Polymorph energy (0 for the lowest one), eV per atom: 0.276
Space-group type: C222
Theoretical density, g/cm³: 2.65

a = 6.9770 Å, b = 6.9770 Å, c = 3.5858 Å
α = 90.00°, β = 90.00°, γ = 151.09°
Last column: nearest neighbours and their distance in Å.
Fractional coordinates of all 12 atoms:
B  0.0000  0.0000  0.5000  4 B 1.80
B  0.8606  0.6694  0.2373  1 C 1.67, 3 B 1.80-1.81
B  0.5000  0.5000  0.0000  4 B 1.80
B  0.6694  0.8606  0.7627  1 C 1.67, 3 B 1.80-1.81
B  0.3306  0.1394  0.7627  1 C 1.67, 3 B 1.80-1.81
B  0.3122  0.6878  0.5000  2 C 1.55
B  0.1394  0.3306  0.2373  1 C 1.67, 3 B 1.80-1.81
B  0.6878  0.3122  0.5000  2 C 1.55
C  0.0000  0.5000  0.7698  2 C 1.50, 2 B 1.55
C  0.1830  0.8170  0.0000  2 C 1.50, 2 B 1.67
C  0.5000  0.0000  0.2302  2 C 1.50, 2 B 1.55
C  0.8170  0.1830  0.0000  2 C 1.50, 2 B 1.67

=====

(4)
The following is a DFT calculation (PBE) of LaHg6Bi2 after structural relaxation.

Values from the calculation:
E_tot, eV per atom: -1.81
Space-group type: P-1
Theoretical density, g/cm³: 11.53

a = 5.4397 Å, b = 5.4246 Å, c = 10.3227 Å
α = 93.56°, β = 86.67°, γ = 123.48°
Last column: nearest neighbours and their distance in Å.
Fractional coordinates of all 9 atoms:
Hg  0.9970  0.0006  0.1578  5 Hg 3.26-3.61, 3 Bi 3.38-3.40, 1 La 3.53
Hg  0.0030  0.9994  0.8422  5 Hg 3.26-3.61, 3 Bi 3.38-3.40, 1 La 3.53
Hg  0.3336  0.6649  0.0466  7 Hg 3.21-3.37, 1 Bi 3.52
Hg  0.3336  0.6643  0.3728  4 Bi 3.16-3.43, 3 La 3.33-3.38, 1 Hg 3.37
Hg  0.6664  0.3357  0.6272  4 Bi 3.16-3.43, 3 La 3.33-3.38, 1 Hg 3.37
Hg  0.6664  0.3351  0.9534  7 Hg 3.21-3.37, 1 Bi 3.52
Bi  0.3345  0.6684  0.7054  8 Hg 3.16-3.52
Bi  0.6655  0.3316  0.2946  8 Hg 3.16-3.52
La  0.0000  0.0000  0.5000  8 Hg 3.33-3.53, 4 Bi 3.63-3.64

=====

(5)
The following is a DFT calculation (PBE) of ScIn2Mo after structural relaxation.

Values from the calculation:
E_tot, eV per atom: -5.66
Polymorph energy (0 for the lowest one), eV per atom: 0.060
Space-group type: Pmmm
Theoretical density, g/cm³: 7.75

a = 4.4071 Å, b = 2.9973 Å, c = 6.7191 Å
α = 63.46°, β = 90.00°, γ = 90.00°
Last column: nearest neighbours and their distance in Å.
Fractional coordinates of all 4 atoms:
Mo  0.5000  0.2500  0.2500  2 Mo 3.00, 2 Sc 3.01, 8 In 3.03
In  0.0000  0.9890  0.0109  4 In 2.87-3.14, 4 Mo 3.03, 4 Sc 3.09
In  0.0000  0.5110  0.4891  4 In 2.87-3.14, 4 Mo 3.03, 4 Sc 3.09
Sc  0.5000  0.7500  0.7500  2 Sc 3.00, 2 Mo 3.01, 8 In 3.09

=====

(6)
The following is a DFT calculation (PBE) of NdTm2UP4 after structural relaxation.

Values from the calculation:
E_tot, eV per atom: -7.24
Space-group type: P2/m
Theoretical density, g/cm³: 7.78

a = 3.9868 Å, b = 6.9343 Å, c = 6.9017 Å
α = 109.26°, β = 90.00°, γ = 90.00°
Last column: nearest neighbours and their distance in Å.
Fractional coordinates of all 8 atoms:
Tm  0.0000  0.5000  0.5000  6 P 2.84-2.86
Tm  0.5000  0.0000  0.5000  6 P 2.77
P  0.5000  0.2431  0.2526  3 Tm 2.77-2.84, 2 U 2.81, 1 Nd 2.87
P  0.0000  0.2373  0.7439  3 Tm 2.77-2.86, 1 U 2.78, 2 Nd 2.88
P  0.0000  0.7627  0.2561  3 Tm 2.77-2.86, 1 U 2.78, 2 Nd 2.88
P  0.5000  0.7569  0.7474  3 Tm 2.77-2.84, 2 U 2.81, 1 Nd 2.87
U  0.0000  0.0000  0.0000  6 P 2.78-2.81
Nd  0.5000  0.5000  0.0000  6 P 2.87-2.88

=====

(7)
The following is a DFT calculation (PBE) of Dy5Ho4Pu after structural relaxation.

Values from the calculation:
E_tot, eV per atom: -5.30
Polymorph energy (0 for the lowest one), eV per atom: 0.005
Space-group type: C2/m
Theoretical density, g/cm³: 8.64

a = 4.9000 Å, b = 8.6003 Å, c = 9.1484 Å
α = 63.70°, β = 105.53°, γ = 90.00°
Last column: nearest neighbours and their distance in Å.
Fractional coordinates of all 10 atoms:
Ho  0.3244  0.9268  0.6488  4 Ho 3.36-3.38, 1 Pu 3.43, 7 Dy 3.53-3.59
Ho  0.9712  0.7811  0.9425  2 Pu 3.27, 6 Dy 3.31-3.61, 2 Ho 3.36
Ho  0.0288  0.2189  0.0575  2 Pu 3.27, 6 Dy 3.31-3.61, 2 Ho 3.36
Ho  0.6756  0.0732  0.3512  4 Ho 3.36-3.38, 1 Pu 3.43, 7 Dy 3.53-3.59
Dy  0.8298  0.6192  0.6596  5 Ho 3.37-3.61, 5 Dy 3.47-3.64
Dy  0.5000  0.5000  0.0000  6 Ho 3.31-3.55, 4 Dy 3.64
Dy  0.1644  0.7892  0.3288  5 Ho 3.35-3.53, 3 Dy 3.47-3.57, 2 Pu 3.59
Dy  0.8356  0.2108  0.6712  5 Ho 3.35-3.53, 3 Dy 3.47-3.57, 2 Pu 3.59
Dy  0.1702  0.3808  0.3404  5 Ho 3.37-3.61, 5 Dy 3.47-3.64
Pu  0.5000  0.0000  0.0000  6 Ho 3.27-3.43, 4 Dy 3.59

=====

(8)
The following is a DFT calculation (PBE) of Ac4Se5O after structural relaxation.

Values from the calculation:
E_tot, eV per atom: -5.92
Space-group type: Immm
Theoretical density, g/cm³: 6.70

a = 4.1918 Å, b = 8.1371 Å, c = 10.6184 Å
α = 112.56°, β = 101.38°, γ = 90.00°
Last column: nearest neighbours and their distance in Å.
Fractional coordinates of all 10 atoms:
Ac  0.2804  0.7804  0.5608  6 Se 3.09-3.11
Ac  0.7196  0.2196  0.4392  6 Se 3.09-3.11
Ac  0.0000  0.7795  0.0000  2 O 2.76, 2 Se 3.09
Ac  0.0000  0.2205  0.0000  2 O 2.76, 2 Se 3.09
Se  0.8391  0.0809  0.6783  4 Ac 3.09-3.11
Se  0.1609  0.4024  0.3217  4 Ac 3.09-3.11
Se  0.1609  0.9191  0.3217  4 Ac 3.09-3.11
Se  0.5000  0.5000  0.0000  4 Ac 3.09
Se  0.8391  0.5976  0.6783  4 Ac 3.09-3.11
O  0.5000  0.0000  0.0000  4 Ac 2.76

=====

(9)
The following is a DFT calculation (PBE) of Y2Cd after structural relaxation.

Values from the calculation:
E_tot, eV per atom: -4.54
Space-group type: P4/mmm
Theoretical density, g/cm³: 5.00

a = 5.2632 Å, b = 5.2632 Å, c = 3.4791 Å
α = 90.00°, β = 90.00°, γ = 90.00°
Last column: nearest neighbours and their distance in Å.
Fractional coordinates of all 3 atoms:
Cd  0.0000  0.0000  0.0000  8 Y 3.15, 2 Cd 3.48
Y  0.5000  0.0000  0.5000  4 Cd 3.15, 2 Y 3.48
Y  0.0000  0.5000  0.5000  4 Cd 3.15, 2 Y 3.48

=====

(10)
The following is a DFT calculation (PBE) of KIr after structural relaxation.

Values from the calculation:
E_tot, eV per atom: -2.73
Polymorph energy (0 for the lowest one), eV per atom: 1.880
Space-group type: Pm-3n
Theoretical density, g/cm³: 2.60

a = 9.6025 Å, b = 9.6025 Å, c = 9.6025 Å
α = 90.00°, β = 90.00°, γ = 90.00°
Last column: nearest neighbours and their distance in Å.
Fractional coordinates of all 12 atoms:
K  0.0000  0.5000  0.2500  4 Ir 3.39
K  0.0000  0.5000  0.7500  4 Ir 3.39
K  0.7500  0.0000  0.5000  4 Ir 3.39
K  0.2500  0.0000  0.5000  4 Ir 3.39
K  0.5000  0.7500  0.0000  4 Ir 3.39
K  0.5000  0.2500  0.0000  4 Ir 3.39
Ir  0.2500  0.5000  0.0000  4 K 3.39
Ir  0.7500  0.5000  0.0000  4 K 3.39
Ir  0.5000  0.0000  0.7500  4 K 3.39
Ir  0.5000  0.0000  0.2500  4 K 3.39
Ir  0.0000  0.7500  0.5000  4 K 3.39
Ir  0.0000  0.2500  0.5000  4 K 3.39

=====

(11)
The following is a DFT calculation (PBE) of Ac3DyCd2 after structural relaxation.

Values from the calculation:
E_tot, eV per atom: -3.29
Space-group type: P4/mmm
Theoretical density, g/cm³: 8.32

a = 4.0338 Å, b = 4.0338 Å, c = 13.0966 Å
α = 90.00°, β = 90.00°, γ = 90.00°
Last column: nearest neighbours and their distance in Å.
Fractional coordinates of all 6 atoms:
Ac  0.0000  0.0000  0.0000  8 Cd 3.55
Ac  0.0000  0.0000  0.3138  4 Cd 3.49, 4 Dy 3.75
Ac  0.0000  0.0000  0.6862  4 Cd 3.49, 4 Dy 3.75
Cd  0.5000  0.5000  0.8392  8 Ac 3.49-3.55
Cd  0.5000  0.5000  0.1608  8 Ac 3.49-3.55
Dy  0.5000  0.5000  0.5000  8 Ac 3.75, 4 Dy 4.03

=====

(12)
The following is a DFT calculation (PBE) of Li4TbSn2 after structural relaxation.

Values from the calculation:
E_tot, eV per atom: -3.36
Polymorph energy (0 for the lowest one), eV per atom: 0.010
Space-group type: P4_2/mnm
Theoretical density, g/cm³: 4.83

a = 4.6372 Å, b = 7.9281 Å, c = 7.9281 Å
α = 90.00°, β = 90.00°, γ = 90.00°
Last column: nearest neighbours and their distance in Å.
Fractional coordinates of all 14 atoms:
Li  0.0000  0.1096  0.3578  3 Sn 2.78-2.79, 6 Li 2.78-3.07
Li  0.5000  0.6096  0.1422  3 Sn 2.78-2.79, 6 Li 2.78-3.07
Li  0.0000  0.3578  0.1096  3 Sn 2.78-2.79, 6 Li 2.78-3.07
Li  0.5000  0.8578  0.3904  3 Sn 2.78-2.79, 6 Li 2.78-3.07
Li  0.0000  0.8904  0.6422  3 Sn 2.78-2.79, 6 Li 2.78-3.07
Li  0.5000  0.1422  0.6096  3 Sn 2.78-2.79, 6 Li 2.78-3.07
Li  0.5000  0.3904  0.8578  3 Sn 2.78-2.79, 6 Li 2.78-3.07
Li  0.0000  0.6422  0.8904  3 Sn 2.78-2.79, 6 Li 2.78-3.07
Tb  0.5000  0.0000  0.0000  6 Sn 3.27-3.29, 4 Li 3.29
Tb  0.0000  0.5000  0.5000  6 Sn 3.27-3.29, 4 Li 3.29
Sn  0.0000  0.7915  0.2085  6 Li 2.78-2.79
Sn  0.5000  0.2915  0.2915  6 Li 2.78-2.79
Sn  0.5000  0.7085  0.7085  6 Li 2.78-2.79
Sn  0.0000  0.2085  0.7915  6 Li 2.78-2.79